# 1
## MnZnIr (SCAN)

Data for MnZnIr at its PBEsol-relaxed geometry.

```
MnZnIr
1.0
3.9924 0.0000 0.0000
1.9962 3.4576 0.0000
1.9962 1.1525 3.2598
Mn Ir Zn
1 1 1
Cartesian
0.0000 0.0000 0.0000
1.9962 1.1525 0.8150
3.9924 2.3050 1.6299
```

The spin magnetization comes out at 1.09 μB per formula unit. The uncorrected energy comes out at -34.042 eV per atom. As for the space group: F-43m, No. 216. The density of states at the Fermi level comes out at 3.6 states/eV/cell. As for the crystal system: cubic.

***

# 2
## Mn2ZnIr (SCAN)

Data for Mn2ZnIr at its PBEsol-relaxed geometry.

```
Mn2ZnIr
1.0
-0.8044 2.1307 1.3178
-2.2357 -1.2351 0.6322
3.0760 -2.5206 5.9531
Mn Zn Ir
2 1 1
Cartesian
0.7797 -0.6389 1.5089
2.2964 -1.8817 4.4442
-1.5201 0.4478 0.9750
0.0180 -0.8125 3.9516
```

The spin magnetization comes out at 5.95 μB per formula unit. The uncorrected energy comes out at -30.476 eV per atom. As for the space group: P4/mmm, No. 123. The density of states at the Fermi level comes out at 3.5 states/eV/cell. As for the crystal system: tetragonal.

***

# 3
## Mn2ZnIr (SCAN)

Data for Mn2ZnIr at its PBEsol-relaxed geometry.

```
Mn2ZnIr
1.0
2.6296 0.0000 0.0000
0.0000 2.6296 0.0000
0.0000 0.0000 7.2034
Mn Ir Zn
2 1 1
Cartesian
1.3148 1.3148 1.6974
0.0000 0.0000 0.0121
1.3148 1.3148 5.5318
0.0000 0.0000 3.5638
```

The spin magnetization comes out at 5.35 μB per formula unit. The uncorrected energy comes out at -30.402 eV per atom. As for the space group: P4mm, No. 99. The density of states at the Fermi level comes out at 1.9 states/eV/cell. As for the crystal system: tetragonal.

***

# 4
## ZrMn2Ir (SCAN)

Data for ZrMn2Ir at its PBEsol-relaxed geometry.

```
ZrMn2Ir
1.0
-1.4059 -1.2027 -3.1383
1.6124 -3.5416 0.6350
-3.4528 1.1970 3.2026
Mn Zr Ir
2 1 1
Cartesian
-1.5389 -2.9483 -0.2952
-1.7074 -0.5990 0.9945
-0.7029 -0.6014 -1.5691
0.8062 -1.7708 0.3175
```

The spin magnetization comes out at 7.30 μB per formula unit. The uncorrected energy comes out at -34.997 eV per atom. As for the space group: Immm, No. 71. The density of states at the Fermi level comes out at 2.7 states/eV/cell. As for the crystal system: orthorhombic.

***

# 5
## MoIr5 (SCAN)

Data for MoIr5 at its PBEsol-relaxed geometry.

```
MoIr5
1.0
2.7343 0.0000 0.0000
-1.3671 4.9815 0.0021
0.0000 -1.5620 6.2565
Ir Mo
5 1
Cartesian
1.3671 1.1501 2.0853
0.0000 -0.3821 3.8551
0.0000 -1.5575 6.2508
0.0000 2.2672 4.1812
0.0000 3.4251 1.6996
1.3671 0.7330 5.9163
```

The spin magnetization comes out at 0.00 μB per formula unit. The uncorrected energy comes out at -65.223 eV per atom. As for the space group: Cm, No. 8. The density of states at the Fermi level comes out at 4.9 states/eV/cell. As for the crystal system: monoclinic.

***

# 6
## Mo11Ir4 (SCAN)

Data for Mo11Ir4 at its PBEsol-relaxed geometry.

```
Mo11Ir4
1.0
4.9210 0.0000 0.0000
0.0000 9.5902 0.0000
0.0000 0.0000 9.5902
Mo Ir
22 8
Cartesian
2.4605 5.1529 8.3422
2.4605 1.2480 4.4372
2.4605 5.8108 5.8108
0.0000 0.3578 6.0431
1.2345 1.7296 1.7296
0.0000 6.0431 0.3578
0.0000 3.5471 9.2323
0.0000 1.0157 8.5744
0.0000 8.5744 1.0157
0.0000 4.7951 4.7951
3.6866 1.7296 1.7296
1.2261 3.0655 6.5247
2.4605 3.7794 3.7794
3.6950 3.0655 6.5247
1.2261 6.5247 3.0655
0.0000 9.2323 3.5471
3.6950 6.5247 3.0655
1.2345 7.8606 7.8606
2.4605 8.3422 5.1529
2.4605 0.0000 0.0000
3.6866 7.8606 7.8606
2.4605 4.4372 1.2480
0.0000 4.1228 2.2389
0.0000 7.3513 5.4674
2.4605 2.5562 8.9179
0.0000 2.2389 4.1228
0.0000 5.4674 7.3513
2.4605 8.9179 2.5562
2.4605 0.6723 7.0340
2.4605 7.0340 0.6723
```

The spin magnetization comes out at 0.00 μB per formula unit. The uncorrected energy comes out at -44.715 eV per atom. As for the space group: P4_2/mnm, No. 136. The density of states at the Fermi level comes out at 24.8 states/eV/cell. As for the crystal system: tetragonal.

***

# 7
## MoIr7 (SCAN)

Data for MoIr7 at its PBEsol-relaxed geometry.

```
MoIr7
1.0
5.4269 0.0000 0.0000
2.7134 4.6998 0.0000
2.7134 1.5666 4.4310
Ir Mo
7 1
Cartesian
2.7134 0.0000 0.0000
4.0701 0.7833 2.2155
5.4269 3.1332 2.2155
4.0701 2.3499 0.0000
1.3567 2.3499 0.0000
2.7134 3.1332 2.2155
1.3567 0.7833 2.2155
0.0000 0.0000 0.0000
```

The spin magnetization comes out at 0.00 μB per formula unit. The uncorrected energy comes out at -66.737 eV per atom. As for the space group: Fm-3m, No. 225. The density of states at the Fermi level comes out at 4.1 states/eV/cell. As for the crystal system: cubic.

***

# 8
## MoIr5 (SCAN)

Data for MoIr5 at its PBEsol-relaxed geometry.

```
MoIr5
1.0
-1.4404 2.6263 3.1660
2.3369 -2.5953 3.2161
2.1426 3.6883 -2.0847
Ir Mo
5 1
Cartesian
1.4871 2.9069 1.2652
1.5089 0.3682 0.3811
1.5519 0.8124 3.0322
1.5497 -1.7211 2.1328
1.4208 2.4459 -1.3825
-0.7202 1.3132 1.5830
```

The spin magnetization comes out at 0.00 μB per formula unit. The uncorrected energy comes out at -65.285 eV per atom. As for the space group: P-62m, No. 189. The density of states at the Fermi level comes out at 3.8 states/eV/cell. As for the crystal system: hexagonal.

***

# 9
## Mo2Ir (SCAN)

Data for Mo2Ir at its PBEsol-relaxed geometry.

```
Mo2Ir
1.0
-1.3275 3.7792 -1.7556
-2.9167 -3.1237 0.9285
-0.6486 2.0863 4.9814
Ir Mo
2 4
Cartesian
-2.3437 3.0429 2.8751
-2.5491 -0.3012 1.2791
-2.0194 1.9998 0.3844
-0.3243 1.0431 2.4907
0.0000 0.0000 0.0000
-2.8734 0.7420 3.7698
```

The spin magnetization comes out at 0.00 μB per formula unit. The uncorrected energy comes out at -47.020 eV per atom. As for the space group: P6_3/mmc, No. 194. The density of states at the Fermi level comes out at 8.2 states/eV/cell. As for the crystal system: hexagonal.

***

# 10
## Mo2Ir (SCAN)

Data for Mo2Ir at its PBEsol-relaxed geometry.

```
Mo2Ir
1.0
-4.5485 1.8275 0.3165
-3.3845 -8.7482 1.8735
1.2608 1.5167 9.3598
Ir Mo
10 20
Cartesian
-1.3147 -5.0209 10.0956
0.1014 -0.1987 2.6049
-4.3180 -5.1205 5.6286
-2.7704 -1.7006 8.1228
-2.3542 -0.2834 5.9212
-3.9018 -3.7033 3.4270
-3.3361 -2.7020 5.7749
0.0000 0.0000 0.0000
-2.2252 -7.0327 8.6284
-0.8090 -2.2105 1.1377
-2.9913 1.0342 8.2452
-1.5471 -4.6879 4.8347
-2.5843 -4.4642 7.7247
-1.6639 -4.5244 2.2116
-2.3696 -6.9271 5.9440
-4.7332 -6.5365 7.8388
0.2458 -0.3043 5.2893
-3.1897 -3.1259 10.3262
-4.0879 -0.9397 3.8251
-5.9587 -5.5229 3.4631
-3.6809 -6.4381 3.3046
-0.7135 0.1190 8.0867
-4.1761 -5.5623 10.2182
-0.4598 -2.7071 9.0217
-0.5766 -2.5435 6.3986
-1.9391 1.1326 3.7111
-3.4825 -2.2780 1.2236
-1.8172 -1.8521 3.6671
-2.4961 0.1584 1.3316
-4.8550 -3.5518 7.8827
```

The spin magnetization comes out at 0.00 μB per formula unit. The uncorrected energy comes out at -47.176 eV per atom. As for the space group: P4_2/mnm, No. 136. The density of states at the Fermi level comes out at 26.6 states/eV/cell. As for the crystal system: tetragonal.

***

# 11
## MoIr5 (SCAN)

Data for MoIr5 at its PBEsol-relaxed geometry.

```
MoIr5
1.0
-0.6078 2.4714 -1.0084
-3.3738 -1.7190 -2.1794
-3.9368 0.0012 6.0933
Ir Mo
5 1
Cartesian
-4.3401 1.0613 1.5024
-4.5434 2.4721 5.0835
-2.8269 0.8249 3.7254
-5.4733 0.2445 3.9008
-1.7195 1.6490 1.3612
-2.6186 -0.5878 0.1383
```

The spin magnetization comes out at 0.00 μB per formula unit. The uncorrected energy comes out at -65.247 eV per atom. As for the space group: Amm2, No. 38. The density of states at the Fermi level comes out at 4.2 states/eV/cell. As for the crystal system: orthorhombic.

***

# 12
## MoIr5 (SCAN)

Data for MoIr5 at its PBEsol-relaxed geometry.

```
MoIr5
1.0
-1.1975 -3.6485 0.1697
3.5017 -1.0942 1.1850
-1.0052 2.6047 5.3754
Ir Mo
5 1
Cartesian
0.6191 -2.1120 2.4918
1.7508 -0.5471 0.5925
-1.6865 -1.2950 3.7877
-0.5163 0.2512 1.7574
0.6799 -0.0260 4.2384
-0.5988 -1.8243 0.0849
```

The spin magnetization comes out at 0.00 μB per formula unit. The uncorrected energy comes out at -65.320 eV per atom. As for the space group: Cmmm, No. 65. The density of states at the Fermi level comes out at 3.9 states/eV/cell. As for the crystal system: orthorhombic.

***

# 13
## MoIr8 (SCAN)

Data for MoIr8 at its PBEsol-relaxed geometry.

```
MoIr8
1.0
-0.7886 2.7870 -2.5182
-4.7744 3.1390 2.0444
3.1498 4.9461 1.5629
Ir Mo
8 1
Cartesian
1.5973 5.1786 -0.6185
-1.3475 6.3290 1.5770
0.7639 2.5545 -0.3369
-1.0657 4.5431 -0.4879
-2.1479 3.7380 1.8848
0.5233 4.3471 1.7225
-1.8258 1.9639 -0.1795
-3.7373 3.9620 -0.2943
0.0000 0.0000 0.0000
```

The spin magnetization comes out at 0.00 μB per formula unit. The uncorrected energy comes out at -67.254 eV per atom. As for the space group: I4/mmm, No. 139. The density of states at the Fermi level comes out at 6.7 states/eV/cell. As for the crystal system: tetragonal.